Record 1
ReO2F2 after structural relaxation. Source: Alexandria via LeMat-Bulk, functional PBE.

Summary:
The calculation puts the energy above the lowest structure with this stoichiometry at 2.663 eV/atom. The energy relative to the elements, uncorrected is 1.331 eV/atom. The symmetry is P4/mmm, No. 123.

POSCAR file:
```
ReO2F2
1.0
3.893 0.000 0.000
0.000 3.893 0.000
0.000 0.000 3.350
Re O F
1 2 2
Direct
0.000 0.000 0.000
0.000 0.500 0.500
0.500 0.000 0.500
0.500 0.500 0.000
0.500 0.500 0.500
```



Record 2
Re2OF after structural relaxation. Source: Alexandria via LeMat-Bulk, functional PBE.

Summary:
The calculation puts the energy above the lowest structure with this stoichiometry at 0.000 eV/atom. The energy relative to the elements, uncorrected is -0.024 eV/atom. The symmetry is I-42d, No. 122.

POSCAR file:
```
Re2OF
1.0
3.786 0.000 0.000
0.000 3.786 0.000
0.000 0.000 14.400
Re O F
8 4 4
Direct
0.191 0.250 0.125
0.250 0.691 0.375
0.250 0.809 0.875
0.309 0.250 0.625
0.691 0.750 0.625
0.750 0.191 0.875
0.750 0.309 0.375
0.809 0.750 0.125
0.000 0.000 0.000
0.000 0.500 0.250
0.500 0.000 0.750
0.500 0.500 0.500
0.000 0.000 0.500
0.000 0.500 0.750
0.500 0.000 0.250
0.500 0.500 0.000
```



Record 3
ReO2F3 after structural relaxation. Source: Alexandria via LeMat-Bulk, functional PBE.

Summary:
The calculation puts the energy above the lowest structure with this stoichiometry at 0.000 eV/atom. The energy relative to the elements, uncorrected is -1.955 eV/atom. The symmetry is Cmce, No. 64.

POSCAR file:
```
ReO2F3
1.0
5.747 -5.258 0.000
5.747 5.258 0.000
0.000 0.000 13.884
Re O F
8 16 24
Direct
0.166 0.834 0.824
0.240 0.240 0.500
0.260 0.260 0.000
0.334 0.666 0.324
0.666 0.334 0.676
0.740 0.740 0.000
0.760 0.760 0.500
0.834 0.166 0.176
0.081 0.213 0.418
0.114 0.655 0.764
0.155 0.614 0.264
0.213 0.081 0.582
0.287 0.419 0.082
0.345 0.886 0.764
0.386 0.845 0.264
0.419 0.287 0.918
0.581 0.713 0.082
0.614 0.155 0.736
0.655 0.114 0.236
0.713 0.581 0.918
0.787 0.919 0.418
0.845 0.386 0.736
0.886 0.345 0.236
0.919 0.787 0.582
0.005 0.995 0.766
0.048 0.183 0.081
0.077 0.371 0.930
0.129 0.423 0.570
0.183 0.048 0.919
0.222 0.778 0.429
0.278 0.722 0.929
0.317 0.452 0.419
0.371 0.077 0.070
0.423 0.129 0.430
0.452 0.317 0.581
0.495 0.505 0.266
0.505 0.495 0.734
0.548 0.683 0.419
0.577 0.871 0.570
0.629 0.923 0.930
0.683 0.548 0.581
0.722 0.278 0.071
0.778 0.222 0.571
0.817 0.952 0.081
0.871 0.577 0.430
0.923 0.629 0.070
0.952 0.817 0.919
0.995 0.005 0.234
```



Record 4
ReO4F2 after structural relaxation. Source: Alexandria via LeMat-Bulk, functional PBE.

Summary:
The energy relative to the elements, uncorrected is -0.749 eV/atom. The symmetry is C2/m, No. 12.

POSCAR file:
```
ReO4F2
1.0
10.090 0.000 0.000
0.000 3.961 0.000
-1.432 0.000 4.515
Re O F
2 8 4
Direct
0.000 0.000 0.000
0.500 0.500 0.000
0.051 0.000 0.642
0.074 0.500 0.091
0.426 0.000 0.909
0.449 0.500 0.358
0.551 0.500 0.642
0.574 0.000 0.091
0.926 0.500 0.909
0.949 0.000 0.358
0.196 0.000 0.225
0.304 0.500 0.775
0.696 0.500 0.225
0.804 0.000 0.775
```



Record 5
Re2OF after structural relaxation. Source: Alexandria via LeMat-Bulk, functional PBE.

Summary:
The calculation puts the energy above the lowest structure with this stoichiometry at 1.044 eV/atom. The energy relative to the elements, uncorrected is 1.019 eV/atom. The symmetry is Fm-3m, No. 225.

POSCAR file:
```
Re2OF
1.0
5.735 0.000 0.000
0.000 5.735 0.000
0.000 0.000 5.735
Re O F
8 4 4
Direct
0.250 0.250 0.250
0.250 0.250 0.750
0.250 0.750 0.250
0.250 0.750 0.750
0.750 0.250 0.250
0.750 0.250 0.750
0.750 0.750 0.250
0.750 0.750 0.750
0.000 0.000 0.000
0.000 0.500 0.500
0.500 0.000 0.500
0.500 0.500 0.000
0.000 0.000 0.500
0.000 0.500 0.000
0.500 0.000 0.000
0.500 0.500 0.500
```



Record 6
ReO3F after structural relaxation. Source: Alexandria via LeMat-Bulk, functional PBE.

Summary:
The energy relative to the elements, uncorrected is -1.684 eV/atom. The symmetry is P2/c, No. 13.

POSCAR file:
```
ReO3F
1.0
6.952 0.000 0.000
0.000 6.467 0.000
-0.049 0.000 11.150
Re O F
6 18 6
Direct
0.000 0.030 0.250
0.000 0.970 0.750
0.334 0.281 0.854
0.334 0.719 0.354
0.666 0.281 0.646
0.666 0.719 0.146
0.141 0.193 0.168
0.141 0.807 0.668
0.167 0.050 0.879
0.167 0.950 0.379
0.193 0.486 0.895
0.193 0.514 0.395
0.478 0.241 0.977
0.478 0.759 0.477
0.500 0.434 0.750
0.500 0.566 0.250
0.522 0.241 0.523
0.522 0.759 0.023
0.807 0.486 0.605
0.807 0.514 0.105
0.833 0.050 0.621
0.833 0.950 0.121
0.859 0.193 0.332
0.859 0.807 0.832
0.166 0.236 0.691
0.166 0.764 0.191
0.500 0.060 0.750
0.500 0.940 0.250
0.834 0.236 0.809
0.834 0.764 0.309
```



Record 7
Re3OF after structural relaxation. Source: Alexandria via LeMat-Bulk, functional PBE.

Summary:
The calculation puts the energy above the lowest structure with this stoichiometry at 0.000 eV/atom. The energy relative to the elements, uncorrected is 1.017 eV/atom. The symmetry is Pm-3m, No. 221.

POSCAR file:
```
Re3OF
1.0
4.079 0.000 0.000
0.000 4.079 0.000
0.000 0.000 4.079
Re O F
3 1 1
Direct
0.000 0.000 0.500
0.000 0.500 0.000
0.500 0.000 0.000
0.000 0.000 0.000
0.500 0.500 0.500
```



Record 8
ReOF2 after structural relaxation. Source: Alexandria via LeMat-Bulk, functional PBE.

Summary:
The calculation puts the energy above the lowest structure with this stoichiometry at 0.000 eV/atom. The energy relative to the elements, uncorrected is -0.114 eV/atom. The symmetry is R-3m, No. 166.

POSCAR file:
```
ReOF2
1.0
2.708 0.000 0.000
-1.354 2.345 0.000
0.000 0.000 27.502
Re O F
3 3 6
Direct
0.000 0.000 0.000
0.333 0.667 0.667
0.667 0.333 0.333
0.000 0.000 0.500
0.333 0.667 0.167
0.667 0.333 0.833
0.000 0.000 0.068
0.000 0.000 0.932
0.333 0.667 0.598
0.333 0.667 0.735
0.667 0.333 0.265
0.667 0.333 0.402
```